Compound: NbZnPb3
Source: Alexandria via LeMat-Bulk
Functional: PBE
Structure: optimized geometry Values from VASP.

Excess energy over the best structure of this formula in the dataset = 0.496 eV per atom
Calculated density = 8.67 Mg/m³
ΔH_f (0 K) = 978 meV per atom
M_tot = 3.45 μB per formula unit
Total DFT energy (no corrections) = -3.515 eV/atom

Geometry as Quantum ESPRESSO input:
```
&SYSTEM
  ibrav = 0, nat = 5, ntyp = 3
/
ATOMIC_SPECIES
Zn 65.41 Zn.upf
Nb 92.91 Nb.upf
Pb 207.20 Pb.upf
ATOMIC_POSITIONS angstrom
Zn 0.000 0.000 0.000
Nb -0.435 -2.254 3.982
Pb -1.165 0.958 2.183
Pb -1.280 -2.301 0.326
Pb 2.011 -0.910 1.473
CELL_PARAMETERS angstrom
-2.331 1.915 4.366
-2.561 -4.602 0.652
4.021 -1.821 2.945
```

***

Compound: Zr2NbPb2
Source: Alexandria via LeMat-Bulk
Functional: PBE
Structure: optimized geometry Values from VASP.

Calculated density = 9.94 Mg/m³
ΔH_f (0 K) = 16 meV per atom
M_tot = 0.00 μB per formula unit
Total DFT energy (no corrections) = -6.901 eV/atom

Geometry as Quantum ESPRESSO input:
```
&SYSTEM
  ibrav = 0, nat = 10, ntyp = 3
/
ATOMIC_SPECIES
Zr 91.22 Zr.upf
Pb 207.20 Pb.upf
Nb 92.91 Nb.upf
ATOMIC_POSITIONS angstrom
Zr 0.664 -2.589 2.213
Zr -0.906 -5.811 4.023
Zr 2.476 -4.974 -0.461
Zr 0.906 -8.196 1.350
Pb 0.559 -6.914 -1.415
Pb 0.271 -2.850 -0.638
Pb -1.901 -7.708 1.829
Nb 0.000 0.000 0.000
Pb -2.189 -3.644 2.606
Nb -0.815 -5.279 0.595
CELL_PARAMETERS angstrom
-3.919 -4.317 4.876
2.289 -6.241 -3.686
3.201 -0.227 2.372
```

***

Compound: Zr2Nb2Pb
Source: Alexandria via LeMat-Bulk
Functional: PBE
Structure: optimized geometry Values from VASP.

Calculated density = 8.65 Mg/m³
ΔH_f (0 K) = 150 meV per atom
M_tot = 0.00 μB per formula unit
Total DFT energy (no corrections) = -8.039 eV/atom

Geometry as Quantum ESPRESSO input:
```
&SYSTEM
  ibrav = 0, nat = 10, ntyp = 3
/
ATOMIC_SPECIES
Pb 207.20 Pb.upf
Nb 92.91 Nb.upf
Zr 91.22 Zr.upf
ATOMIC_POSITIONS angstrom
Pb 0.000 0.000 0.000
Nb 4.691 0.902 0.000
Nb 0.902 2.888 0.000
Zr 1.353 5.142 1.924
Nb 2.888 6.677 0.000
Pb 3.789 3.789 0.000
Nb 6.677 4.691 0.000
Zr 6.226 2.436 1.924
Zr 5.142 6.226 1.924
Zr 2.436 1.353 1.924
CELL_PARAMETERS angstrom
7.579 0.000 0.000
0.000 7.579 0.000
0.000 0.000 3.848
```

***

Compound: Nb2Pd3
Source: Alexandria via LeMat-Bulk
Functional: PBE
Structure: optimized geometry Values from VASP.

Calculated density = 10.30 Mg/m³
ΔH_f (0 K) = -319 meV per atom
M_tot = 0.00 μB per formula unit
Total DFT energy (no corrections) = -7.463 eV/atom

Geometry as Quantum ESPRESSO input:
```
&SYSTEM
  ibrav = 0, nat = 5, ntyp = 2
/
ATOMIC_SPECIES
Pd 106.42 Pd.upf
Nb 92.91 Nb.upf
ATOMIC_POSITIONS angstrom
Pd 1.384 1.408 -0.374
Nb 0.268 0.272 2.016
Pd 1.907 1.941 3.568
Pd 0.792 0.806 5.964
Nb 2.431 2.475 7.515
CELL_PARAMETERS angstrom
2.817 0.000 -0.374
-0.050 2.816 -0.374
-0.068 -0.069 10.280
```

***

Compound: Nb2Pd5
Source: Alexandria via LeMat-Bulk
Functional: PBE
Structure: optimized geometry Values from VASP.

Excess energy over the best structure of this formula in the dataset = 0.000 eV per atom
Calculated density = 10.59 Mg/m³
ΔH_f (0 K) = -310 meV per atom
M_tot = 0.00 μB per formula unit
Total DFT energy (no corrections) = -6.896 eV/atom

Geometry as Quantum ESPRESSO input:
```
&SYSTEM
  ibrav = 0, nat = 14, ntyp = 2
/
ATOMIC_SPECIES
Pd 106.42 Pd.upf
Nb 92.91 Nb.upf
ATOMIC_POSITIONS angstrom
Pd -2.395 -1.882 3.130
Pd 2.852 -2.761 4.600
Nb -0.174 -0.523 1.937
Pd 4.429 0.896 1.904
Pd 3.917 -3.943 2.256
Pd 0.186 -5.402 1.210
Pd 0.063 -1.710 4.435
Pd 2.246 -0.392 3.167
Nb 4.789 -1.503 3.105
Pd 1.128 -2.892 2.091
Nb -0.809 -4.150 3.586
Nb 4.153 -5.130 4.755
Pd 1.734 -5.261 3.524
Pd -0.450 -6.550 4.787
CELL_PARAMETERS angstrom
-3.254 -0.107 3.612
1.045 -7.177 0.729
6.189 1.630 2.351
```

***

Compound: Nb2Pd3
Source: Alexandria via LeMat-Bulk
Functional: PBE
Structure: optimized geometry Values from VASP.

Calculated density = 9.68 Mg/m³
ΔH_f (0 K) = -80 meV per atom
M_tot = 0.00 μB per formula unit
Total DFT energy (no corrections) = -7.223 eV/atom

Geometry as Quantum ESPRESSO input:
```
&SYSTEM
  ibrav = 0, nat = 15, ntyp = 2
/
ATOMIC_SPECIES
Nb 92.91 Nb.upf
Pd 106.42 Pd.upf
ATOMIC_POSITIONS angstrom
Nb -8.123 -1.789 4.935
Pd -6.588 0.836 1.322
Pd -9.662 -0.121 3.774
Nb -8.018 -0.262 -0.781
Nb -7.009 1.117 3.820
Pd -9.553 -2.886 2.832
Pd -12.143 -1.542 3.126
Pd -3.998 -0.508 1.029
Nb -9.132 -3.167 0.334
Pd -5.842 -1.308 3.165
Pd -6.480 -1.930 0.380
Pd -10.299 -0.742 0.990
Nb -6.732 -3.619 2.560
Pd 0.000 0.000 0.000
Nb -9.410 1.568 1.594
CELL_PARAMETERS angstrom
-6.353 -1.274 -2.687
-4.337 -3.986 3.810
-5.451 3.210 3.032
```

***

Compound: Nb2Pd13
Source: Alexandria via LeMat-Bulk
Functional: PBE
Structure: optimized geometry Values from VASP.

Calculated density = 8.73 Mg/m³
ΔH_f (0 K) = 236 meV per atom
M_tot = 0.00 μB per formula unit
Total DFT energy (no corrections) = -5.607 eV/atom

Geometry as Quantum ESPRESSO input:
```
&SYSTEM
  ibrav = 0, nat = 15, ntyp = 2
/
ATOMIC_SPECIES
Pd 106.42 Pd.upf
Nb 92.91 Nb.upf
ATOMIC_POSITIONS angstrom
Pd -3.905 -6.101 3.204
Pd -5.906 -6.608 1.479
Pd -3.620 -5.777 0.408
Pd -5.211 -4.032 1.824
Pd -6.600 -9.184 1.134
Pd -3.918 -8.371 1.516
Pd -6.118 -4.987 -0.658
Nb -2.821 -3.358 0.648
Pd -6.526 -5.533 3.829
Pd -8.192 -7.438 2.549
Pd -5.286 -7.683 -0.871
Pd -7.907 -7.115 -0.246
Pd -7.894 -4.845 1.442
Pd -5.693 -8.228 3.616
Nb -8.990 -9.858 2.309
CELL_PARAMETERS angstrom
-4.254 -4.865 -3.267
-0.761 -6.623 2.828
-6.796 -1.727 3.397
```

***

Compound: NbPd4
Source: Alexandria via LeMat-Bulk
Functional: PBE
Structure: optimized geometry Values from VASP.

Calculated density = 10.86 Mg/m³
ΔH_f (0 K) = -155 meV per atom
M_tot = 0.00 μB per formula unit
Total DFT energy (no corrections) = -6.323 eV/atom

Geometry as Quantum ESPRESSO input:
```
&SYSTEM
  ibrav = 0, nat = 5, ntyp = 2
/
ATOMIC_SPECIES
Nb 92.91 Nb.upf
Pd 106.42 Pd.upf
ATOMIC_POSITIONS angstrom
Nb 0.000 0.000 0.000
Pd 13.752 0.000 0.979
Pd 6.892 0.000 0.491
Pd 20.692 0.000 1.473
Pd 27.551 0.000 1.962
CELL_PARAMETERS angstrom
11.539 -1.410 0.005
11.539 1.410 0.005
11.366 0.000 2.442
```

***

Compound: NbPd2
Source: Alexandria via LeMat-Bulk
Functional: PBE
Structure: optimized geometry Values from VASP.

Calculated density = 10.42 Mg/m³
ΔH_f (0 K) = -257 meV per atom
M_tot = 0.00 μB per formula unit
Total DFT energy (no corrections) = -7.076 eV/atom

Geometry as Quantum ESPRESSO input:
```
&SYSTEM
  ibrav = 0, nat = 6, ntyp = 2
/
ATOMIC_SPECIES
Nb 92.91 Nb.upf
Pd 106.42 Pd.upf
ATOMIC_POSITIONS angstrom
Nb 1.988 1.284 4.846
Pd 0.000 4.024 1.328
Pd 0.000 0.411 3.229
Pd 1.988 2.246 2.256
Pd 1.988 -1.367 4.156
Nb 0.000 1.373 0.638
CELL_PARAMETERS angstrom
3.975 0.000 0.000
-1.988 4.489 0.037
0.000 -1.832 5.447
```

***

Compound: NbPd2
Source: Alexandria via LeMat-Bulk
Functional: PBE
Structure: optimized geometry Values from VASP.

Calculated density = 10.18 Mg/m³
ΔH_f (0 K) = -18 meV per atom
M_tot = 1.04 μB per formula unit
Total DFT energy (no corrections) = -6.836 eV/atom

Geometry as Quantum ESPRESSO input:
```
&SYSTEM
  ibrav = 0, nat = 6, ntyp = 2
/
ATOMIC_SPECIES
Pd 106.42 Pd.upf
Nb 92.91 Nb.upf
ATOMIC_POSITIONS angstrom
Pd 5.205 1.503 2.656
Nb 2.603 1.503 1.062
Pd 6.506 3.756 2.656
Nb 0.000 0.000 0.000
Pd 5.205 3.005 0.531
Pd 3.904 3.756 2.656
CELL_PARAMETERS angstrom
5.205 0.000 0.000
2.603 4.508 0.000
2.603 1.503 4.250
```

***

Compound: Nb3Pd4
Source: Alexandria via LeMat-Bulk
Functional: PBE
Structure: optimized geometry Values from VASP.

Calculated density = 9.87 Mg/m³
ΔH_f (0 K) = -124 meV per atom
M_tot = 0.00 μB per formula unit
Total DFT energy (no corrections) = -7.407 eV/atom

Geometry as Quantum ESPRESSO input:
```
&SYSTEM
  ibrav = 0, nat = 7, ntyp = 2
/
ATOMIC_SPECIES
Pd 106.42 Pd.upf
Nb 92.91 Nb.upf
ATOMIC_POSITIONS angstrom
Pd 0.000 2.539 0.688
Nb 0.000 0.417 2.770
Nb 0.000 0.000 0.000
Pd 0.000 -1.765 4.504
Nb 1.407 2.978 3.006
Pd 1.407 5.160 1.271
Pd 1.407 0.857 5.087
CELL_PARAMETERS angstrom
2.813 0.000 0.000
0.000 6.965 -0.556
-1.407 -3.570 6.331
```